The following is a PBE calculation of a relaxed Be2TeW crystal, from the Alexandria database.

Values from the calculation:
- E_form (uncorrected) (meV/atom) = 635.7
- magnetic moment (μB per formula unit) = 0.00
- volume (Å³/atom) = 14.20
- SG = Pmmm
- crystal system = orthorhombic
- raw total energy (eV per atom) = -5.251

The structure in extended XYZ format:
```
4
Lattice="-2.428 -2.451 1.049 -0.371 -1.475 -4.305 2.535 -2.272 0.560" Properties=species:S:1:pos:R:3 pbc="T T T"
Te 0.053 -2.361 0.804
Be 0.000 0.000 0.000
Be -1.400 -1.963 -1.628
W 1.082 -1.873 -1.872
```